[1]
DFT (GGA-PBE) results for a geometry-optimized Sc6Tl3Ag structure.

Summary:
As for the energy of formation: -0.220 eV per atom. Its magnetic moment is 0.112 μB per atom. For the volume, the calculation gives 458.3 Å³/cell. The value obtained for the uncorrected energy is -50.14 eV per formula unit. The calculation puts the density of states at the Fermi level at 1.0538 states/eV/atom.

Unit cell a=8.741 b=5.060 c=10.921 alpha=90.00 beta=108.44 gamma=90.00
Element x y z (fractional)
Sc 0.045 0.250 0.415
Sc 0.171 0.750 0.179
Sc 0.267 0.250 0.007
Sc 0.351 0.750 0.806
Sc 0.361 0.250 0.326
Sc 0.414 0.250 0.625
Sc 0.586 0.750 0.375
Sc 0.639 0.750 0.674
Sc 0.649 0.250 0.194
Sc 0.733 0.750 0.993
Sc 0.829 0.250 0.821
Sc 0.955 0.750 0.585
Tl 0.027 0.750 0.884
Tl 0.130 0.250 0.714
Tl 0.282 0.750 0.477
Tl 0.718 0.250 0.523
Tl 0.870 0.750 0.286
Tl 0.973 0.250 0.116
Ag 0.454 0.750 0.106
Ag 0.546 0.250 0.894

=====

[2]
DFT (GGA-PBE) results for a geometry-optimized Sc2TlAg structure.

Summary:
As for the energy of formation: -0.285 eV per atom. Its magnetic moment is 0.000 μB per atom. For the volume, the calculation gives 87.2 Å³/cell. The value obtained for the uncorrected energy is -19.02 eV per formula unit. The calculation puts the density of states at the Fermi level at 0.7076 states/eV/atom. The energy above the lowest structure with this stoichiometry comes out at 0.011 eV per atom.

Unit cell a=3.453 b=3.503 c=7.208 alpha=90.00 beta=90.00 gamma=90.00
Element x y z (fractional)
Sc 0.000 0.000 0.233
Sc 0.000 0.000 0.767
Tl 0.500 0.500 0.500
Ag 0.500 0.500 0.000

=====

[3]
DFT (GGA-PBE) results for a geometry-optimized Sc2TlAg structure.

Summary:
As for the energy of formation: 0.210 eV per atom. Its magnetic moment is 0.167 μB per atom. For the volume, the calculation gives 394.2 Å³/cell. The value obtained for the uncorrected energy is -17.04 eV per formula unit. The calculation puts the density of states at the Fermi level at 1.1422 states/eV/atom. The energy above the lowest structure with this stoichiometry comes out at 0.506 eV per atom.

Unit cell a=4.394 b=4.394 c=20.417 alpha=90.00 beta=90.00 gamma=90.00
Element x y z (fractional)
Sc 0.247 0.250 0.125
Sc 0.250 0.747 0.375
Sc 0.250 0.753 0.875
Sc 0.253 0.250 0.625
Sc 0.747 0.750 0.625
Sc 0.750 0.247 0.875
Sc 0.750 0.253 0.375
Sc 0.753 0.750 0.125
Tl 0.000 0.000 0.000
Tl 0.000 0.500 0.250
Tl 0.500 0.000 0.750
Tl 0.500 0.500 0.500
Ag 0.000 0.000 0.500
Ag 0.000 0.500 0.750
Ag 0.500 0.000 0.250
Ag 0.500 0.500 0.000

=====

[4]
DFT (GGA-PBE) results for a geometry-optimized Sc6Tl2Ag structure.

Summary:
As for the energy of formation: -0.184 eV per atom. Its magnetic moment is 0.176 μB per atom. For the volume, the calculation gives 414.9 Å³/cell. The value obtained for the uncorrected energy is -47.23 eV per formula unit. The calculation puts the density of states at the Fermi level at 1.3459 states/eV/atom. The energy above the lowest structure with this stoichiometry comes out at 0.023 eV per atom.

Unit cell a=9.384 b=9.384 c=4.712 alpha=90.00 beta=90.00 gamma=90.00
Element x y z (fractional)
Sc 0.020 0.328 0.000
Sc 0.130 0.870 0.500
Sc 0.172 0.520 0.500
Sc 0.328 0.020 0.000
Sc 0.370 0.370 0.000
Sc 0.480 0.828 0.500
Sc 0.520 0.172 0.500
Sc 0.630 0.630 0.000
Sc 0.672 0.980 0.000
Sc 0.828 0.480 0.500
Sc 0.870 0.130 0.500
Sc 0.980 0.672 0.000
Tl 0.201 0.201 0.500
Tl 0.299 0.701 0.000
Tl 0.701 0.299 0.000
Tl 0.799 0.799 0.500
Ag 0.000 0.000 0.000
Ag 0.500 0.500 0.500